Below is a relaxed BeCN2 crystal, with properties calculated at the GGA-PBE level.

```
BeCN2
1.0
1.691 0.000 4.447
-0.845 1.464 4.447
-0.845 -1.464 4.447
Be C N
1 1 2
Direct
0.500 0.500 0.500 Be
0.000 0.000 0.000 C
0.908 0.908 0.908 N
0.092 0.092 0.092 N
```

Calculated values
electronic total energy: -30.346 eV per cell
uncorrected formation energy: -0.1863 eV/atom
symmetry: R-3m
N(E_F): 0.0 states/eV per cell

Below is a relaxed Cs7KAg2 crystal, with properties calculated at the GGA-PBE level.

```
Cs7KAg2
1.0
6.579 0.000 -1.266
-0.244 6.575 -1.266
0.026 0.027 17.864
Cs K Ag
7 1 2
Direct
0.120 0.620 0.239 Cs
0.380 0.880 0.761 Cs
0.620 0.120 0.239 Cs
0.500 0.500 0.000 Cs
0.750 0.250 0.500 Cs
0.880 0.380 0.761 Cs
0.250 0.750 0.500 Cs
0.000 0.000 0.000 K
0.684 0.684 0.367 Ag
0.316 0.316 0.633 Ag
```

Calculated values
electronic total energy: -12.332 eV per cell
symmetry: I4/mmm
energy relative to the elements: 0.04 eV/atom
N(E_F): 8.9 states/eV per cell

Below is a relaxed Pm2TiGaPt6 crystal, with properties calculated at the GGA-PBE level.

```
Pm2TiGaPt6
1.0
-3.635 -2.660 3.524
6.315 -4.834 2.860
3.939 -1.977 7.208
Pm Ti Ga Pt
2 1 1 6
Direct
0.206 0.795 0.589 Pm
0.794 0.205 0.411 Pm
0.500 0.500 0.000 Ti
0.000 0.000 0.000 Ga
0.251 0.749 0.993 Pt
0.756 0.749 0.993 Pt
0.251 0.244 0.499 Pt
0.749 0.251 0.007 Pt
0.244 0.251 0.007 Pt
0.749 0.756 0.501 Pt
```

Calculated values
electronic total energy: -64.717 eV per cell
symmetry: R-3m
energy relative to the elements: -0.80 eV/atom
N(E_F): 4.2 states/eV per cell